The following is a GGA-PBEsol calculation of a relaxed structure of Ca3Ga3Ir2, from Alexandria.

Summary:
As for the formation enthalpy at 0 K: -0.61 eV/atom. As for the space-group type: Pnma, No. 62.

a = 8.021 Å, b = 14.763 Å, c = 5.733 Å
α = 90.00°, β = 90.00°, γ = 90.00°
Element x y z (fractional)
Ca (0.047, 0.108, 0.111)
Ca (0.047, 0.392, 0.111)
Ca (0.198, 0.250, 0.620)
Ca (0.302, 0.750, 0.120)
Ca (0.453, 0.608, 0.611)
Ca (0.453, 0.892, 0.611)
Ca (0.547, 0.108, 0.389)
Ca (0.547, 0.392, 0.389)
Ca (0.698, 0.250, 0.880)
Ca (0.802, 0.750, 0.380)
Ca (0.953, 0.608, 0.889)
Ca (0.953, 0.892, 0.889)
Ga (0.146, 0.750, 0.580)
Ga (0.179, 0.040, 0.624)
Ga (0.179, 0.460, 0.624)
Ga (0.321, 0.540, 0.124)
Ga (0.321, 0.960, 0.124)
Ga (0.354, 0.250, 0.080)
Ga (0.646, 0.750, 0.920)
Ga (0.679, 0.040, 0.876)
Ga (0.679, 0.460, 0.876)
Ga (0.821, 0.540, 0.376)
Ga (0.821, 0.960, 0.376)
Ga (0.854, 0.250, 0.420)
Ir (0.109, 0.599, 0.395)
Ir (0.109, 0.901, 0.395)
Ir (0.391, 0.099, 0.895)
Ir (0.391, 0.401, 0.895)
Ir (0.609, 0.599, 0.105)
Ir (0.609, 0.901, 0.105)
Ir (0.891, 0.099, 0.605)
Ir (0.891, 0.401, 0.605)

---

The following is a GGA-PBEsol calculation of a relaxed structure of FeTeP2O8, from Alexandria.

Summary:
The value obtained for the excess energy over the best structure of this formula in the dataset is 0.0 meV per atom. For the uncorrected formation energy, the calculation gives -19.98 eV per formula unit. As for the space-group type: P-1, No. 2.

a = 4.879 Å, b = 6.928 Å, c = 9.748 Å
α = 88.02°, β = 81.61°, γ = 88.07°
Element x y z (fractional)
Fe (0.066, 0.181, 0.268)
Fe (0.934, 0.819, 0.732)
Te (0.410, 0.276, 0.805)
Te (0.590, 0.724, 0.195)
P (0.108, 0.748, 0.397)
P (0.358, 0.730, 0.912)
P (0.642, 0.270, 0.088)
P (0.892, 0.252, 0.603)
O (0.106, 0.750, 0.552)
O (0.186, 0.279, 0.636)
O (0.216, 0.901, 0.845)
O (0.255, 0.926, 0.317)
O (0.256, 0.547, 0.843)
O (0.262, 0.710, 0.072)
O (0.317, 0.583, 0.330)
O (0.327, 0.260, 0.107)
O (0.673, 0.740, 0.893)
O (0.683, 0.417, 0.670)
O (0.738, 0.290, 0.928)
O (0.744, 0.453, 0.157)
O (0.745, 0.074, 0.683)
O (0.784, 0.099, 0.155)
O (0.814, 0.721, 0.364)
O (0.894, 0.250, 0.448)

---

The following is a GGA-PBEsol calculation of a relaxed structure of TiCrHgB2, from Alexandria.

Summary:
As for the formation enthalpy at 0 K: 0.93 eV/atom. As for the space-group type: P4/mmm, No. 123.

a = 4.038 Å, b = 4.038 Å, c = 4.348 Å
α = 90.00°, β = 90.00°, γ = 90.00°
Element x y z (fractional)
Ti (0.000, 0.000, 0.000)
Cr (0.000, 0.000, 0.500)
Hg (0.500, 0.500, 0.000)
B (0.000, 0.500, 0.500)
B (0.500, 0.000, 0.500)

---

The following is a GGA-PBEsol calculation of a relaxed structure of ZrAlHg2, from Alexandria.

Summary:
As for the formation enthalpy at 0 K: -0.09 eV/atom. As for the space-group type: C2/m, No. 12.

a = 5.771 Å, b = 5.771 Å, c = 2.924 Å
α = 100.92°, β = 100.92°, γ = 118.11°
Element x y z (fractional)
Zr (0.000, 0.000, 0.000)
Al (0.500, 0.500, 0.000)
Hg (0.000, 0.500, 0.500)
Hg (0.500, 0.000, 0.500)

---

The following is a GGA-PBEsol calculation of a relaxed structure of YHfCuTc2, from Alexandria.

Summary:
As for the formation enthalpy at 0 K: 1.66 eV/atom. As for the space-group type: P4/mmm, No. 123.

a = 4.662 Å, b = 4.662 Å, c = 4.553 Å
α = 90.00°, β = 90.00°, γ = 90.00°
Element x y z (fractional)
Y (0.000, 0.000, 0.000)
Hf (0.500, 0.500, 0.500)
Cu (0.000, 0.000, 0.500)
Tc (0.000, 0.500, 0.000)
Tc (0.500, 0.000, 0.000)

---

The following is a GGA-PBEsol calculation of a relaxed structure of IrOsO2, from Alexandria.

Summary:
For the uncorrected formation energy, the calculation gives 4.09 eV per formula unit. As for the space-group type: Fm-3m, No. 225.

a = 3.912 Å, b = 3.912 Å, c = 3.912 Å
α = 60.00°, β = 60.00°, γ = 60.00°
Element x y z (fractional)
Ir (0.000, 0.000, 0.000)
Os (0.500, 0.500, 0.500)
O (0.250, 0.250, 0.250)
O (0.750, 0.750, 0.750)